Below is a relaxed BiPOsS2 crystal, with properties calculated at the GGA-PBE level.

POSCAR file:
```
BiPOsS2
1.0
-3.8340 -2.4010 1.7691
2.3403 -0.6361 4.2086
-1.6877 3.8109 1.5145
S P Os Bi
2 1 1 1
Direct
0.5000 0.0000 0.0000 S
0.0000 0.5000 0.0000 S
0.0000 0.0000 0.5000 P
0.0000 0.0000 0.0000 Os
0.5000 0.5000 0.5000 Bi
```

Computed properties:
Formation energy from raw total energies in meV/atom: 463
Relative energy among the computed polymorphs in meV/atom: 0
V in Å³ per cell: 104.6
Symmetry: P4/mmm, No. 123